Version 1
Ba2PPd2: optimized geometry, GGA-PBE.

Structure (extended XYZ):
```
10
Lattice="7.437 0.000 0.000 0.000 7.437 0.000 0.000 0.000 4.654" Properties=species:S:1:pos:R:3 pbc="T T T"
P 0.000 0.000 0.000
P 3.718 3.718 0.000
Ba 1.378 5.097 2.327
Ba 5.097 6.058 2.327
Ba 6.058 2.340 2.327
Ba 2.340 1.378 2.327
Pd 2.738 6.456 0.000
Pd 6.456 4.699 0.000
Pd 4.699 0.981 0.000
Pd 0.981 2.738 0.000
```

Properties
Its crystal system is tetragonal. Its space group is P4/mbm.


Version 2
Ba2PPd2: optimized geometry, GGA-PBE.

Structure (extended XYZ):
```
20
Lattice="6.935 0.000 0.000 0.000 7.831 0.000 0.000 0.000 9.711" Properties=species:S:1:pos:R:3 pbc="T T T"
Ba 6.825 1.907 5.411
Ba 3.358 2.008 4.300
Ba 3.577 5.823 5.411
Ba 0.110 5.923 4.300
Ba 0.110 5.923 0.556
Ba 3.577 5.823 9.155
Ba 3.358 2.008 0.556
Ba 6.825 1.907 9.155
P 5.887 7.178 7.283
P 4.516 3.263 7.283
P 2.419 4.568 2.428
P 1.048 0.652 2.428
Pd 1.366 7.514 7.283
Pd 2.101 3.598 7.283
Pd 0.492 3.063 2.428
Pd 4.834 4.232 2.428
Pd 2.975 6.979 2.428
Pd 5.569 0.317 2.428
Pd 3.960 0.852 7.283
Pd 6.443 4.767 7.283
```

Properties
Its crystal system is orthorhombic. Its space group is Pnma.


Version 3
Ba2PPd2: optimized geometry, GGA-PBE.

Structure (extended XYZ):
```
5
Lattice="-1.257 -2.392 -2.775 3.544 -0.049 -1.563 3.347 -8.438 3.055" Properties=species:S:1:pos:R:3 pbc="T T T"
P 0.000 0.000 0.000
Ba 1.594 -2.697 -1.100
Ba 4.040 -8.182 -0.182
Pd 1.617 -6.025 -0.944
Pd 4.017 -4.854 -0.338
```

Properties
Its crystal system is tetragonal. Its space group is I4/mmm.


Most stable structure, least stable structure: version 2, version 1.